NaPO3 (PBE, optimized geometry); M_tot = 2.00 Bohr magnetons per cell; theoretical density = 2.838 g/cm3; final energy = -16.6 eV/cell; E_form (uncorrected) = 1003.4 meV per atom
1.0
3.907 0.000 0.000
0.000 3.907 0.000
0.000 0.000 3.907
Na P O
1 1 3
direct
0.000 0.000 0.000
0.500 0.500 0.500
0.000 0.000 0.500
0.000 0.500 0.000
0.500 0.000 0.000



CdPPt3 (PBE, optimized geometry); energy of formation = 158 kJ per mole of atoms; M_tot = 0.00 Bohr magnetons per cell; theoretical density = 10.171 g/cm3; final energy = -16.3 eV/cell; ΔE to the lowest computed polymorph = 192.9 kJ/mol of atoms
1.0
4.918 0.000 0.000
0.000 4.918 0.000
0.000 0.000 4.918
Cd P Pt
1 1 3
direct
0.000 0.000 0.000
0.500 0.500 0.500
0.000 0.000 0.500
0.000 0.500 0.000
0.500 0.000 0.000



Cd4Hg5 (PBE, optimized geometry); energy of formation = 5 kJ per mole of atoms; M_tot = 0.00 Bohr magnetons per cell; theoretical density = 9.418 g/cm3; final energy = -4.7 eV/cell; ΔE to the lowest computed polymorph = 1.8 kJ/mol of atoms
1.0
-4.940 4.940 2.624
4.940 -4.940 2.624
4.940 4.940 -2.624
Cd Hg
4 5
direct
0.163 0.240 0.403
0.240 0.837 0.077
0.760 0.163 0.923
0.837 0.760 0.597
0.000 0.000 0.000
0.170 0.539 0.709
0.461 0.170 0.632
0.539 0.830 0.368
0.830 0.461 0.291



CuTc4Ni (PBE, optimized geometry); energy of formation = 59 kJ per mole of atoms; M_tot = 0.02 Bohr magnetons per cell; theoretical density = 9.400 g/cm3; final energy = -47.7 eV/cell
1.0
0.000 3.568 3.568
3.568 0.000 3.568
3.568 3.568 0.000
Cu Tc Ni
1 4 1
direct
0.000 0.000 0.000
0.125 0.625 0.625
0.625 0.125 0.625
0.625 0.625 0.125
0.625 0.625 0.625
0.250 0.250 0.250



AcHg2PO6 (PBE, optimized geometry); M_tot = 0.00 Bohr magnetons per cell; theoretical density = 9.047 g/cm3; final energy = -55.4 eV/cell; E_form (uncorrected) = -1548.3 meV per atom
1.0
2.761 1.594 5.248
-2.761 1.594 5.248
0.000 -3.188 5.248
Ac Hg P O
1 2 1 6
direct
0.000 0.000 0.000
0.224 0.224 0.224
0.776 0.776 0.776
0.500 0.500 0.500
0.201 0.393 0.710
0.290 0.799 0.607
0.393 0.710 0.201
0.607 0.290 0.799
0.710 0.201 0.393
0.799 0.607 0.290



Sc2BeOs (PBE, optimized geometry); energy of formation = 6 kJ per mole of atoms; M_tot = 0.00 Bohr magnetons per cell; theoretical density = 6.348 g/cm3; final energy = -27.4 eV/cell
1.0
-1.596 1.596 7.428
1.596 -1.596 7.428
1.596 1.596 -7.428
Sc Be Os
2 1 1
direct
0.166 0.166 0.000
0.834 0.834 0.000
0.500 0.500 0.000
0.000 0.000 0.000



Sc3RhAu (PBE, optimized geometry); energy of formation = -27 kJ per mole of atoms; M_tot = 0.00 Bohr magnetons per cell; theoretical density = 5.970 g/cm3; final energy = -31.0 eV/cell; ΔE to the lowest computed polymorph = 0.0 kJ/mol of atoms
1.0
4.945 0.000 0.000
0.000 4.945 0.000
0.000 0.000 4.945
Sc Rh Au
3 1 1
direct
0.000 0.000 0.500
0.000 0.500 0.000
0.500 0.000 0.000
0.000 0.000 0.000
0.500 0.500 0.500



PuNpTcPt (PBE, optimized geometry); energy of formation = -15 kJ per mole of atoms; M_tot = 7.70 Bohr magnetons per cell; theoretical density = 16.006 g/cm3; final energy = -44.3 eV/cell
1.0
0.000 3.424 3.424
3.424 0.000 3.424
3.424 3.424 0.000
Pu Np Tc Pt
1 1 1 1
direct
0.000 0.000 0.000
0.500 0.500 0.500
0.750 0.750 0.750
0.250 0.250 0.250



PtAu2 (PBE, optimized geometry); energy of formation = 3 kJ per mole of atoms; M_tot = 0.00 Bohr magnetons per cell; theoretical density = 18.969 g/cm3; final energy = -12.5 eV/cell; ΔE to the lowest computed polymorph = 0.0 kJ/mol of atoms
1.0
2.886 0.000 0.000
-1.443 2.500 0.000
0.000 0.000 7.146
Pt Au
1 2
direct
0.000 0.000 0.000
0.333 0.667 0.670
0.667 0.333 0.330



RbNaVTc2 (PBE, optimized geometry); energy of formation = 278 kJ per mole of atoms; M_tot = 0.75 Bohr magnetons per cell; theoretical density = 5.465 g/cm3; final energy = -17.7 eV/cell
1.0
4.824 0.000 0.000
0.000 4.824 0.000
0.000 0.000 4.641
Rb Na V Tc
1 1 1 2
direct
0.000 0.000 0.000
0.000 0.000 0.500
0.500 0.500 0.500
0.000 0.500 0.000
0.500 0.000 0.000



MgAg2Ru (PBE, optimized geometry); energy of formation = 23 kJ per mole of atoms; M_tot = 0.64 Bohr magnetons per cell; theoretical density = 8.427 g/cm3; final energy = -15.6 eV/cell
1.0
-2.041 2.041 4.034
2.041 -2.041 4.034
2.041 2.041 -4.034
Mg Ag Ru
1 2 1
direct
0.000 0.000 0.000
0.250 0.750 0.500
0.750 0.250 0.500
0.500 0.500 0.000



SrNpAg2Cl8 (PBE, optimized geometry); M_tot = 3.00 Bohr magnetons per cell; theoretical density = 3.565 g/cm3; final energy = -52.3 eV/cell; E_form (uncorrected) = -1430.1 meV per atom
1.0
6.685 0.000 0.000
1.285 6.850 0.000
0.017 2.162 8.381
Sr Np Ag Cl
1 1 2 8
direct
0.000 0.000 0.000
0.000 0.000 0.500
0.482 0.355 0.200
0.518 0.645 0.800
0.109 0.231 0.229
0.129 0.202 0.684
0.353 0.763 0.523
0.392 0.741 0.059
0.608 0.259 0.941
0.647 0.237 0.477
0.871 0.798 0.316
0.891 0.769 0.771



TbPr2ScSb4 (PBE, optimized geometry); M_tot = 0.00 Bohr magnetons per cell; theoretical density = 6.585 g/cm3; final energy = -45.8 eV/cell; E_form (uncorrected) = -1096.4 meV per atom
1.0
7.650 0.000 0.000
0.000 4.434 0.000
-2.568 0.000 7.231
Tb Pr Sc Sb
1 2 1 4
direct
0.000 0.000 0.000
0.500 0.000 0.500
0.500 0.500 0.000
0.000 0.500 0.500
0.230 0.000 0.736
0.235 0.500 0.252
0.765 0.500 0.748
0.770 0.000 0.264